## RbFe2N (PBE-GGA)

Data for a relaxed structure of RbFe2N.

Calculated values
Formation energy without anion corrections = 0.336 eV per atom
Crystal system = cubic
Magnetization = 6.0 μB/f.u.
V = 20.6 Å³/atom

Cell and atoms, written as POSCAR:
```
RbFe2N
1.0
-2.395 5.665 -0.216
-0.202 -0.319 -6.143
-5.305 0.988 -2.959
Fe Rb N
4 2 2
Cartesian
-2.250 2.331 -1.589
-2.351 2.172 -4.660
-5.003 2.666 -6.140
-6.201 5.498 -6.247
0.000 0.000 0.000
-4.499 4.663 -3.177
-1.298 2.673 -3.179
-3.403 1.671 -6.141
```

## Sr2CdGaNi (PBE-GGA)

Data for a relaxed structure of Sr2CdGaNi.

Calculated values
Crystal system = tetragonal
Magnetization = 0.0 μB/f.u.
V = 30.3 Å³/atom
Calculated formation energy = -1.1 eV per formula unit

Cell and atoms, written as POSCAR:
```
Sr2CdGaNi
1.0
5.756 0.000 0.000
0.000 5.756 0.000
0.000 0.000 4.579
Sr Ni Ga Cd
2 1 1 1
Cartesian
0.000 2.878 0.000
2.878 0.000 0.000
0.000 0.000 0.000
0.000 0.000 2.290
2.878 2.878 2.290
```

## Zn5Si2Ni12 (PBE-GGA)

Data for a relaxed structure of Zn5Si2Ni12.

Calculated values
Formation energy without anion corrections = -0.194 eV per atom
Crystal system = monoclinic
Magnetization = 0.0 μB/f.u.
V = 11.9 Å³/atom

Cell and atoms, written as POSCAR:
```
Zn5Si2Ni12
1.0
6.910 0.000 0.000
-3.455 5.615 0.852
0.000 -1.007 5.697
Zn Si Ni
5 2 12
Cartesian
0.000 2.110 3.689
0.000 3.317 0.581
0.000 -0.503 2.848
3.455 1.291 5.968
3.455 2.498 2.860
4.923 0.000 0.000
1.987 0.000 0.000
3.455 4.499 1.333
-2.152 3.137 4.894
2.152 3.137 4.894
-1.374 3.935 2.615
1.374 3.935 2.615
0.000 4.338 4.735
3.455 0.270 1.814
4.829 0.673 3.934
2.081 0.673 3.934
5.607 1.471 1.655
1.303 1.471 1.655
0.000 0.109 5.216
```

## PtAuSe (PBE-GGA)

Data for a relaxed structure of PtAuSe.

Calculated values
Formation energy without anion corrections = 0.224 eV per atom
Crystal system = cubic
Magnetization = 0.0 μB/f.u.
V = 20.7 Å³/atom

Cell and atoms, written as POSCAR:
```
PtAuSe
1.0
-1.575 -4.069 0.838
2.716 -3.511 -0.171
1.152 -2.101 3.741
Au Pt Se
1 1 1
Cartesian
1.147 -4.840 2.204
1.720 -7.260 3.306
0.000 0.000 0.000
```

## VB (PBE-GGA)

Data for a relaxed structure of VB.

Calculated values
Crystal system = cubic
Magnetization = 0.0 μB/f.u.
V = 16.9 Å³/atom
Calculated formation energy = 1.8 eV per formula unit

Cell and atoms, written as POSCAR:
```
VB
1.0
6.463 0.000 0.000
0.000 6.463 0.000
0.000 0.000 6.463
V B
8 8
Cartesian
2.212 2.212 2.212
2.212 4.251 4.251
4.251 2.212 4.251
4.251 4.251 2.212
5.444 5.444 5.444
5.444 1.019 1.019
1.019 5.444 1.019
1.019 1.019 5.444
1.002 1.002 1.002
1.002 5.461 5.461
5.461 1.002 5.461
5.461 5.461 1.002
4.234 4.234 4.234
4.234 2.229 2.229
2.229 4.234 2.229
2.229 2.229 4.234
```

## TlAsPd3 (PBE-GGA)

Data for a relaxed structure of TlAsPd3.

Calculated values
Crystal system = monoclinic
Magnetization = 0.0 μB/f.u.
V = 19.2 Å³/atom
Calculated formation energy = -1.1 eV per formula unit

Cell and atoms, written as POSCAR:
```
TlAsPd3
1.0
-0.147 0.214 4.216
4.566 -4.002 0.362
5.614 5.000 -0.059
Tl As Pd
2 2 6
Cartesian
8.174 1.960 0.719
4.061 1.840 0.582
5.982 -1.213 2.920
1.542 -0.486 2.729
4.229 -2.866 2.944
6.176 -0.060 0.752
3.938 0.114 2.782
6.155 2.183 2.754
5.917 4.098 0.532
8.218 -0.168 2.945
```

## CrAgSb2 (PBE-GGA)

Data for a relaxed structure of CrAgSb2.

Calculated values
Formation energy without anion corrections = 0.231 eV per atom
Crystal system = monoclinic
Magnetization = 3.6 μB/f.u.
V = 22.6 Å³/atom

Cell and atoms, written as POSCAR:
```
CrAgSb2
1.0
-3.367 0.521 -3.095
-1.656 -2.836 -3.225
-4.687 -2.489 2.603
Ag Cr Sb
1 1 2
Cartesian
-7.283 -3.603 -2.787
-2.428 -1.201 -0.929
-5.121 -2.369 -6.209
-4.757 -2.348 -1.969
```

## SrMg2Hg2 (PBE-GGA)

Data for a relaxed structure of SrMg2Hg2.

Calculated values
Crystal system = tetragonal
Magnetization = 0.0 μB/f.u.
V = 26.9 Å³/atom
Calculated formation energy = -1.2 eV per formula unit

Cell and atoms, written as POSCAR:
```
SrMg2Hg2
1.0
8.479 0.000 0.000
0.000 8.479 0.000
0.000 0.000 3.736
Sr Mg Hg
2 4 4
Cartesian
0.000 0.000 0.000
4.240 4.240 0.000
1.278 5.518 1.868
5.518 7.201 1.868
7.201 2.961 1.868
2.961 1.278 1.868
3.042 7.282 0.000
7.282 5.437 0.000
5.437 1.198 0.000
1.198 3.042 0.000
```

## GePb (PBE-GGA)

Data for a relaxed structure of GePb.

Calculated values
Crystal system = hexagonal
Magnetization = 0.0 μB/f.u.
V = 32.2 Å³/atom
Calculated formation energy = 0.5 eV per formula unit

Cell and atoms, written as POSCAR:
```
GePb
1.0
10.704 0.000 0.000
-5.352 9.270 0.000
0.000 0.000 3.891
Ge Pb
6 6
Cartesian
5.784 0.690 0.973
2.294 5.355 2.918
7.214 4.664 0.973
-0.432 8.580 2.918
3.058 3.915 0.973
-1.862 4.606 2.918
8.436 1.983 0.973
2.501 8.297 2.918
4.769 6.314 0.973
-3.084 7.287 2.918
2.851 0.973 0.973
0.583 2.956 2.918
```

## Rb2NiOsC (PBE-GGA)

Data for a relaxed structure of Rb2NiOsC.

Calculated values
Crystal system = tetragonal
Magnetization = 2.8 μB/f.u.
V = 29.9 Å³/atom
Calculated formation energy = 8.2 eV per formula unit

Cell and atoms, written as POSCAR:
```
Rb2NiOsC
1.0
-4.114 -2.991 -4.118
2.649 -1.886 -1.276
-1.131 -4.625 4.489
Ni C Os Rb
1 1 1 2
Cartesian
0.000 0.000 0.000
1.324 -0.943 -0.638
-1.298 -4.751 -0.453
-0.566 -2.313 2.245
-2.057 -1.495 -2.059
```

## Tb8Te4Pt3Cl (PBE-GGA)

Data for a relaxed structure of Tb8Te4Pt3Cl.

Calculated values
Formation energy without anion corrections = -1.303 eV per atom
Crystal system = trigonal
Magnetization = 0.0 μB/f.u.
V = 27.6 Å³/atom

Cell and atoms, written as POSCAR:
```
Tb8Te4Pt3Cl
1.0
8.368 0.000 0.000
0.000 8.735 0.249
-4.184 -4.177 5.920
Tb Te Pt Cl
8 4 3 1
Cartesian
-1.983 2.225 5.925
0.000 4.205 3.121
0.000 0.348 3.200
1.983 2.225 5.925
2.201 2.333 0.244
4.184 4.209 2.969
4.184 0.352 3.049
6.167 2.333 0.244
4.184 0.000 0.000
2.092 -2.089 2.960
0.000 0.000 0.000
-2.092 -2.089 2.960
4.184 4.367 0.125
2.092 2.279 3.085
-2.092 2.279 3.085
0.000 4.367 0.125
```

## TiIrS2 (PBE-GGA)

Data for a relaxed structure of TiIrS2.

Calculated values
Formation energy without anion corrections = -0.301 eV per atom
Crystal system = cubic
Magnetization = 0.0 μB/f.u.
V = 14.1 Å³/atom

Cell and atoms, written as POSCAR:
```
TiIrS2
1.0
0.000 3.041 3.041
3.041 0.000 3.041
3.041 3.041 0.000
S Ir Ti
2 1 1
Cartesian
1.521 1.521 1.521
4.562 4.562 4.562
3.041 3.041 3.041
0.000 0.000 0.000
```

## Sr2NiGe3Pt4 (PBE-GGA)

Data for a relaxed structure of Sr2NiGe3Pt4.

Calculated values
Crystal system = tetragonal
Magnetization = 0.2 μB/f.u.
V = 19.7 Å³/atom
Calculated formation energy = -7.1 eV per formula unit

Cell and atoms, written as POSCAR:
```
Sr2NiGe3Pt4
1.0
4.389 0.000 0.000
0.000 4.389 0.000
0.000 0.000 10.220
Sr Ni Ge Pt
2 1 3 4
Cartesian
2.194 0.000 2.637
0.000 2.194 7.583
2.194 2.194 5.110
0.000 0.000 5.110
2.194 0.000 8.903
0.000 2.194 1.317
2.194 2.194 0.000
0.000 0.000 0.000
2.194 0.000 6.409
0.000 2.194 3.811
```

## Pr3Cu8Hg (PBE-GGA)

Data for a relaxed structure of Pr3Cu8Hg.

Calculated values
Crystal system = trigonal
Magnetization = 0.0 μB/f.u.
V = 17.7 Å³/atom
Calculated formation energy = -1.4 eV per formula unit

Cell and atoms, written as POSCAR:
```
Pr3Cu8Hg
1.0
-3.686 -1.168 3.632
-4.929 -1.234 -1.525
-0.634 -9.205 0.271
Pr Cu Hg
3 8 1
Cartesian
-3.812 -8.856 1.032
-8.572 -2.564 2.099
-4.659 -5.672 1.196
-5.738 -3.380 2.827
-6.676 -7.976 0.350
-3.846 -2.781 0.963
-8.515 -8.558 2.162
-1.902 -4.444 0.515
-6.511 -10.306 1.702
-6.376 -3.414 0.180
-6.056 -7.943 2.923
-7.751 -5.647 1.941
```

## RbLaGd2 (PBE-GGA)

Data for a relaxed structure of RbLaGd2.

Calculated values
Crystal system = trigonal
Magnetization = 15.6 μB/f.u.
V = 40.2 Å³/atom
Calculated formation energy = 1.1 eV per formula unit

Cell and atoms, written as POSCAR:
```
RbLaGd2
1.0
-1.626 -1.221 -3.098
-2.487 -2.741 0.170
-11.277 7.769 0.640
Gd Rb La
2 1 1
Cartesian
-8.429 5.155 0.176
-6.961 -1.348 -2.463
0.000 0.000 0.000
-7.695 1.904 -1.144
```

## La4Sm2Tm (PBE-GGA)

Data for a relaxed structure of La4Sm2Tm.

Calculated values
Crystal system = triclinic
Magnetization = 0.0 μB/f.u.
V = 35.4 Å³/atom
Calculated formation energy = 0.5 eV per formula unit

Cell and atoms, written as POSCAR:
```
La4Sm2Tm
1.0
8.525 1.960 -1.560
-3.032 5.841 -2.023
1.175 0.853 8.454
Tm Sm La
2 4 8
Cartesian
3.171 4.080 2.432
0.685 1.577 7.221
2.880 6.095 -0.372
3.743 4.010 6.034
0.592 3.874 4.545
5.338 3.414 -0.178
5.890 6.356 1.684
2.683 0.918 0.322
8.602 2.538 0.834
0.116 6.870 2.314
6.446 3.215 3.441
0.105 3.720 0.500
6.592 6.234 5.318
3.315 7.134 4.347
```

## BaYGa3 (PBE-GGA)

Data for a relaxed structure of BaYGa3.

Calculated values
Crystal system = cubic
Magnetization = 0.6 μB/f.u.
V = 33.9 Å³/atom
Calculated formation energy = 0.1 eV per formula unit

Cell and atoms, written as POSCAR:
```
BaYGa3
1.0
-5.468 -0.846 -0.177
0.780 -5.318 1.329
-0.373 1.287 5.372
Y Ba Ga
1 1 3
Cartesian
0.000 0.000 0.000
-2.531 -2.438 3.262
0.390 -2.659 0.664
-0.187 0.644 2.686
-2.734 -0.423 -0.089
```

## ZrCo2As (PBE-GGA)

Data for a relaxed structure of ZrCo2As.

Calculated values
Crystal system = monoclinic
Magnetization = 1.7 μB/f.u.
V = 14.9 Å³/atom
Calculated formation energy = 0.0 eV per formula unit

Cell and atoms, written as POSCAR:
```
ZrCo2As
1.0
-0.423 -2.451 4.029
4.395 2.452 -0.750
-0.177 2.435 1.621
As Co Zr
1 2 1
Cartesian
1.986 0.000 1.640
0.000 0.000 0.000
-0.300 -0.008 2.825
2.109 2.443 0.436
```

## Tl6TcI12 (PBE-GGA)

Data for a relaxed structure of Tl6TcI12.

Calculated values
Formation energy without anion corrections = -0.353 eV per atom
Crystal system = trigonal
Magnetization = 3.2 μB/f.u.
V = 48.1 Å³/atom

Cell and atoms, written as POSCAR:
```
Tl6TcI12
1.0
-8.544 4.702 -1.853
3.731 -0.897 -9.156
-3.213 -9.241 1.685
Tl Tc I
6 1 12
Cartesian
-1.790 -4.885 -2.571
-6.635 -5.207 -3.694
-2.569 -4.699 -7.490
-6.236 -0.550 -6.753
-1.391 -0.228 -5.630
-5.457 -0.736 -1.833
0.000 0.000 0.000
-4.678 -4.012 -1.178
-0.345 -3.364 -5.285
-4.339 1.036 -4.413
-3.348 -1.423 -8.146
-7.681 -2.072 -4.038
-3.687 -6.471 -4.911
0.374 -7.519 -6.652
0.995 -1.030 -8.944
-3.377 -8.355 -0.910
-8.400 2.084 -2.671
-9.021 -4.405 -0.380
-4.649 2.920 -8.414
```

## Li3AsP2 (PBE-GGA)

Data for a relaxed structure of Li3AsP2.

Calculated values
Crystal system = orthorhombic
Magnetization = 0.0 μB/f.u.
V = 17.4 Å³/atom
Calculated formation energy = -2.5 eV per formula unit

Cell and atoms, written as POSCAR:
```
Li3AsP2
1.0
-3.535 4.228 4.673
-3.617 -6.803 3.419
6.307 -1.851 2.990
Li As P
12 4 8
Cartesian
-0.600 1.307 2.165
0.109 -3.650 3.441
-0.245 -5.733 8.917
-0.953 -0.776 7.641
-2.340 -1.965 3.810
-1.631 -6.922 5.085
1.495 -2.461 7.272
0.787 2.497 5.997
-4.976 -1.661 7.016
-0.790 0.275 4.907
4.131 -2.764 4.066
-0.055 -4.701 6.175
-2.516 -3.179 6.600
-3.250 1.792 5.324
1.671 -1.247 4.482
2.405 -6.218 5.758
-4.691 -4.094 7.671
-2.883 -0.693 5.962
3.846 -0.331 3.411
2.038 -3.733 5.120
-2.146 -4.431 4.500
-0.085 -1.184 2.750
1.301 0.005 6.582
-0.760 -3.242 8.331
```

## CsSeS2Br (PBE-GGA)

Data for a relaxed structure of CsSeS2Br.

Calculated values
Formation energy without anion corrections = 1.092 eV per atom
Crystal system = tetragonal
Magnetization = 6.0 μB/f.u.
V = 71.2 Å³/atom

Cell and atoms, written as POSCAR:
```
CsSeS2Br
1.0
6.997 0.000 0.000
0.000 7.269 0.000
0.000 0.000 6.997
Cs S Se Br
1 2 1 1
Cartesian
0.000 0.000 0.000
0.000 0.000 3.499
3.499 0.000 0.000
0.000 3.635 0.000
3.499 3.635 3.499
```

## CsCoSCl2 (PBE-GGA)

Data for a relaxed structure of CsCoSCl2.

Calculated values
Formation energy without anion corrections = -0.738 eV per atom
Crystal system = tetragonal
Magnetization = 3.1 μB/f.u.
V = 24.7 Å³/atom

Cell and atoms, written as POSCAR:
```
CsCoSCl2
1.0
5.278 0.000 0.000
0.000 5.278 0.000
0.000 0.000 4.433
Cs S Co Cl
1 1 1 2
Cartesian
2.639 2.639 2.216
0.000 0.000 2.216
0.000 0.000 0.000
0.000 2.639 0.000
2.639 0.000 0.000
```

## CoRe3Si (PBE-GGA)

Data for a relaxed structure of CoRe3Si.

Calculated values
Formation energy without anion corrections = 1.536 eV per atom
Crystal system = cubic
Magnetization = 0.0 μB/f.u.
V = 16.5 Å³/atom

Cell and atoms, written as POSCAR:
```
CoRe3Si
1.0
-1.870 -3.885 -0.598
3.188 -1.111 -2.747
2.299 -1.618 3.323
Re Si Co
3 1 1
Cartesian
1.594 -0.556 -1.374
1.150 -0.809 1.661
-0.935 -1.942 -0.299
0.000 0.000 0.000
1.809 -3.307 -0.011
```